Entry 1:
# SrCaLaZn2, relaxed, DFT PBE-GGA
data_SrCaLaZn2
_space_group_name_H-M_alt 'P 4/m m m'
_space_group_IT_number 123
_space_group_name_Hall '-P 4 2'
_cell_length_a 5.676
_cell_length_b 5.676
_cell_length_c 6.007
_cell_angle_alpha 90.00
_cell_angle_beta 90.00
_cell_angle_gamma 90.00
loop_
_atom_site_label
_atom_site_type_symbol
_atom_site_fract_x
_atom_site_fract_y
_atom_site_fract_z
_atom_site_occupancy
Sr1 Sr 0.000 0.000 0.000 1
Ca1 Ca 0.500 0.500 0.000 1
La1 La 0.500 0.500 0.500 1
Zn1 Zn 0.000 0.500 0.500 1
# - raw total energy (eV per atom) = -1.73
# - volume (Å³/atom) = 38.71
# - M_tot (μB per formula unit) = 0.00
# - formation enthalpy at 0 K (eV/atom) = 0.4999

---

Entry 2:
# SrCaLa2Zn, relaxed, DFT PBE-GGA
data_SrCaLa2Zn
_space_group_name_H-M_alt 'P m m m'
_space_group_IT_number 47
_space_group_name_Hall '-P 2 2'
_cell_length_a 3.884
_cell_length_b 5.714
_cell_length_c 8.144
_cell_angle_alpha 90.00
_cell_angle_beta 90.00
_cell_angle_gamma 90.00
loop_
_atom_site_label
_atom_site_type_symbol
_atom_site_fract_x
_atom_site_fract_y
_atom_site_fract_z
_atom_site_occupancy
Sr1 Sr 0.000 0.000 0.000 1
Ca1 Ca 0.500 0.000 0.500 1
La1 La 0.500 0.500 0.200 1
Zn1 Zn 0.000 0.500 0.500 1
# - raw total energy (eV per atom) = -2.91
# - excess energy over the best structure of this formula in the dataset (eV per atom) = 0.1100
# - volume (Å³/atom) = 36.15
# - M_tot (μB per formula unit) = 0.00
# - formation enthalpy at 0 K (eV/atom) = 0.0561

---

Entry 3:
# CaLaTa2, relaxed, DFT PBE-GGA
data_CaLaTa2
_space_group_name_H-M_alt 'I m m m'
_space_group_IT_number 71
_space_group_name_Hall '-I 2 2'
_cell_length_a 4.275
_cell_length_b 4.308
_cell_length_c 10.305
_cell_angle_alpha 90.00
_cell_angle_beta 90.00
_cell_angle_gamma 90.00
loop_
_atom_site_label
_atom_site_type_symbol
_atom_site_fract_x
_atom_site_fract_y
_atom_site_fract_z
_atom_site_occupancy
Ca1 Ca 0.000 0.000 0.000 1
La1 La 0.000 0.000 0.500 1
Ta1 Ta 0.000 0.500 0.250 1
# - raw total energy (eV per atom) = -6.91
# - excess energy over the best structure of this formula in the dataset (eV per atom) = 0.4117
# - volume (Å³/atom) = 23.73
# - M_tot (μB per formula unit) = 0.00
# - formation enthalpy at 0 K (eV/atom) = 0.7445

---

Entry 4:
# CaLaTa, relaxed, DFT PBE-GGA
data_CaLaTa
_space_group_name_H-M_alt 'P -6 m 2'
_space_group_IT_number 187
_space_group_name_Hall 'P -6 2'
_cell_length_a 5.5473
_cell_length_b 5.5473
_cell_length_c 2.9824
_cell_angle_alpha 90.00
_cell_angle_beta 90.00
_cell_angle_gamma 120.00
loop_
_atom_site_label
_atom_site_type_symbol
_atom_site_fract_x
_atom_site_fract_y
_atom_site_fract_z
_atom_site_occupancy
Ca1 Ca 0.0000 0.0000 0.0000 1
La1 La 0.3333 0.6667 0.0000 1
Ta1 Ta 0.6667 0.3333 0.5000 1
# - raw total energy (eV per atom) = -5.61
# - excess energy over the best structure of this formula in the dataset (eV per atom) = 0.1215
# - volume (Å³/atom) = 26.49
# - M_tot (μB per formula unit) = 0.00
# - formation enthalpy at 0 K (eV/atom) = 0.6523

---

Entry 5:
# CaLaTa2, relaxed, DFT PBE-GGA
data_CaLaTa2
_space_group_name_H-M_alt 'C m m 2'
_space_group_IT_number 35
_space_group_name_Hall 'C 2 -2'
_cell_length_a 3.538
_cell_length_b 5.245
_cell_length_c 10.935
_cell_angle_alpha 90.00
_cell_angle_beta 90.00
_cell_angle_gamma 90.00
loop_
_atom_site_label
_atom_site_type_symbol
_atom_site_fract_x
_atom_site_fract_y
_atom_site_fract_z
_atom_site_occupancy
Ca1 Ca 0.000 0.000 0.000 1
La1 La 0.000 0.500 0.322 1
Ta1 Ta 0.000 0.000 0.569 1
Ta2 Ta 0.000 0.500 0.753 1
# - raw total energy (eV per atom) = -7.20
# - excess energy over the best structure of this formula in the dataset (eV per atom) = 0.1240
# - volume (Å³/atom) = 25.37
# - M_tot (μB per formula unit) = 0.00
# - formation enthalpy at 0 K (eV/atom) = 0.4568

---

Entry 6:
# CaLaTa2, relaxed, DFT PBE-GGA
data_CaLaTa2
_space_group_name_H-M_alt 'P 1 2/m 1'
_space_group_IT_number 10
_space_group_name_Hall '-P 2y'
_cell_length_a 2.963
_cell_length_b 5.317
_cell_length_c 6.046
_cell_angle_alpha 90.00
_cell_angle_beta 90.28
_cell_angle_gamma 90.00
loop_
_atom_site_label
_atom_site_type_symbol
_atom_site_fract_x
_atom_site_fract_y
_atom_site_fract_z
_atom_site_occupancy
Ca1 Ca 0.000 0.000 0.000 1
La1 La 0.000 0.000 0.500 1
Ta1 Ta 0.492 0.500 0.252 1
# - raw total energy (eV per atom) = -6.92
# - excess energy over the best structure of this formula in the dataset (eV per atom) = 0.4090
# - volume (Å³/atom) = 23.81
# - M_tot (μB per formula unit) = 0.00
# - formation enthalpy at 0 K (eV/atom) = 0.7418

---

Entry 7:
# CaLaTa2, relaxed, DFT PBE-GGA
data_CaLaTa2
_space_group_name_H-M_alt 'P 4/m m m'
_space_group_IT_number 123
_space_group_name_Hall '-P 4 2'
_cell_length_a 3.893
_cell_length_b 3.893
_cell_length_c 6.871
_cell_angle_alpha 90.00
_cell_angle_beta 90.00
_cell_angle_gamma 90.00
loop_
_atom_site_label
_atom_site_type_symbol
_atom_site_fract_x
_atom_site_fract_y
_atom_site_fract_z
_atom_site_occupancy
Ca1 Ca 0.000 0.000 0.000 1
La1 La 0.000 0.000 0.500 1
Ta1 Ta 0.500 0.500 0.306 1
# - raw total energy (eV per atom) = -6.83
# - excess energy over the best structure of this formula in the dataset (eV per atom) = 0.5007
# - volume (Å³/atom) = 26.04
# - M_tot (μB per formula unit) = 0.00
# - formation enthalpy at 0 K (eV/atom) = 0.8335

---

Entry 8:
# CaLa4Ta, relaxed, DFT PBE-GGA
data_CaLa4Ta
_space_group_name_H-M_alt 'F -4 3 m'
_space_group_IT_number 216
_space_group_name_Hall 'F -4 2 3'
_cell_length_a 9.274
_cell_length_b 9.274
_cell_length_c 9.274
_cell_angle_alpha 90.00
_cell_angle_beta 90.00
_cell_angle_gamma 90.00
loop_
_atom_site_label
_atom_site_type_symbol
_atom_site_fract_x
_atom_site_fract_y
_atom_site_fract_z
_atom_site_occupancy
Ca1 Ca 0.000 0.000 0.000 1
La1 La 0.122 0.122 0.622 1
Ta1 Ta 0.250 0.250 0.250 1
# - raw total energy (eV per atom) = -4.89
# - volume (Å³/atom) = 33.24
# - M_tot (μB per formula unit) = 1.97
# - formation enthalpy at 0 K (eV/atom) = 0.7056

---

Entry 9:
# Ca2LaTa, relaxed, DFT PBE-GGA
data_Ca2LaTa
_space_group_name_H-M_alt 'P 4/m m m'
_space_group_IT_number 123
_space_group_name_Hall '-P 4 2'
_cell_length_a 4.767
_cell_length_b 4.767
_cell_length_c 5.288
_cell_angle_alpha 90.00
_cell_angle_beta 90.00
_cell_angle_gamma 90.00
loop_
_atom_site_label
_atom_site_type_symbol
_atom_site_fract_x
_atom_site_fract_y
_atom_site_fract_z
_atom_site_occupancy
Ca1 Ca 0.000 0.500 0.000 1
La1 La 0.000 0.000 0.500 1
Ta1 Ta 0.500 0.500 0.500 1
# - raw total energy (eV per atom) = -4.52
# - excess energy over the best structure of this formula in the dataset (eV per atom) = 0.2163
# - volume (Å³/atom) = 30.04
# - M_tot (μB per formula unit) = 0.97
# - formation enthalpy at 0 K (eV/atom) = 0.6759

---

Entry 10:
# CaLaTa2, relaxed, DFT PBE-GGA
data_CaLaTa2
_space_group_name_H-M_alt 'R 3 m'
_space_group_IT_number 160
_space_group_name_Hall 'R 3 -2"'
_cell_length_a 3.4061
_cell_length_b 3.4061
_cell_length_c 31.8107
_cell_angle_alpha 90.00
_cell_angle_beta 90.00
_cell_angle_gamma 120.00
loop_
_atom_site_label
_atom_site_type_symbol
_atom_site_fract_x
_atom_site_fract_y
_atom_site_fract_z
_atom_site_occupancy
Ca1 Ca 0.0000 0.0000 0.0000 1
La1 La 0.0000 0.0000 0.2238 1
Ta1 Ta 0.0000 0.0000 0.4759 1
Ta2 Ta 0.0000 0.0000 0.7508 1
# - raw total energy (eV per atom) = -7.10
# - excess energy over the best structure of this formula in the dataset (eV per atom) = 0.2247
# - volume (Å³/atom) = 26.63
# - M_tot (μB per formula unit) = 0.00
# - formation enthalpy at 0 K (eV/atom) = 0.5575

---

Entry 11:
# Ca2LaTa, relaxed, DFT PBE-GGA
data_Ca2LaTa
_space_group_name_H-M_alt 'P 4/m m m'
_space_group_IT_number 123
_space_group_name_Hall '-P 4 2'
_cell_length_a 3.290
_cell_length_b 3.290
_cell_length_c 11.159
_cell_angle_alpha 90.00
_cell_angle_beta 90.00
_cell_angle_gamma 90.00
loop_
_atom_site_label
_atom_site_type_symbol
_atom_site_fract_x
_atom_site_fract_y
_atom_site_fract_z
_atom_site_occupancy
Ca1 Ca 0.000 0.000 0.210 1
La1 La 0.500 0.500 0.500 1
Ta1 Ta 0.500 0.500 0.000 1
# - raw total energy (eV per atom) = -4.62
# - excess energy over the best structure of this formula in the dataset (eV per atom) = 0.1205
# - volume (Å³/atom) = 30.20
# - M_tot (μB per formula unit) = 0.00
# - formation enthalpy at 0 K (eV/atom) = 0.5801

---

Entry 12:
# Ca2LaTa, relaxed, DFT PBE-GGA
data_Ca2LaTa
_space_group_name_H-M_alt 'F m -3 m'
_space_group_IT_number 225
_space_group_name_Hall '-F 4 2 3'
_cell_length_a 7.856
_cell_length_b 7.856
_cell_length_c 7.856
_cell_angle_alpha 90.00
_cell_angle_beta 90.00
_cell_angle_gamma 90.00
loop_
_atom_site_label
_atom_site_type_symbol
_atom_site_fract_x
_atom_site_fract_y
_atom_site_fract_z
_atom_site_occupancy
Ca1 Ca 0.250 0.250 0.250 1
La1 La 0.000 0.000 0.000 1
Ta1 Ta 0.000 0.000 0.500 1
# - raw total energy (eV per atom) = -4.44
# - excess energy over the best structure of this formula in the dataset (eV per atom) = 0.2965
# - volume (Å³/atom) = 30.30
# - M_tot (μB per formula unit) = 1.57
# - formation enthalpy at 0 K (eV/atom) = 0.7561

---

Entry 13:
# CaLa3Ta, relaxed, DFT PBE-GGA
data_CaLa3Ta
_space_group_name_H-M_alt 'P m -3 m'
_space_group_IT_number 221
_space_group_name_Hall '-P 4 2 3'
_cell_length_a 5.576
_cell_length_b 5.576
_cell_length_c 5.576
_cell_angle_alpha 90.00
_cell_angle_beta 90.00
_cell_angle_gamma 90.00
loop_
_atom_site_label
_atom_site_type_symbol
_atom_site_fract_x
_atom_site_fract_y
_atom_site_fract_z
_atom_site_occupancy
Ca1 Ca 0.000 0.000 0.000 1
La1 La 0.000 0.000 0.500 1
Ta1 Ta 0.500 0.500 0.500 1
# - raw total energy (eV per atom) = -4.13
# - excess energy over the best structure of this formula in the dataset (eV per atom) = 1.1928
# - volume (Å³/atom) = 34.67
# - M_tot (μB per formula unit) = 0.00
# - formation enthalpy at 0 K (eV/atom) = 1.5959

---

Entry 14:
# Ca2LaTa, relaxed, DFT PBE-GGA
data_Ca2LaTa
_space_group_name_H-M_alt 'P 1 2/m 1'
_space_group_IT_number 10
_space_group_name_Hall '-P 2y'
_cell_length_a 3.274
_cell_length_b 5.987
_cell_length_c 6.073
_cell_angle_alpha 90.00
_cell_angle_beta 94.57
_cell_angle_gamma 90.00
loop_
_atom_site_label
_atom_site_type_symbol
_atom_site_fract_x
_atom_site_fract_y
_atom_site_fract_z
_atom_site_occupancy
Ca1 Ca 0.241 0.000 0.265 1
La1 La 0.500 0.500 0.000 1
Ta1 Ta 0.000 0.500 0.500 1
# - raw total energy (eV per atom) = -4.56
# - excess energy over the best structure of this formula in the dataset (eV per atom) = 0.1744
# - volume (Å³/atom) = 29.66
# - M_tot (μB per formula unit) = 0.00
# - formation enthalpy at 0 K (eV/atom) = 0.6339

---

Entry 15:
# CaLaTa2, relaxed, DFT PBE-GGA
data_CaLaTa2
_space_group_name_H-M_alt 'R -3 m'
_space_group_IT_number 166
_space_group_name_Hall '-R 3 2"'
_cell_length_a 3.1320
_cell_length_b 3.1320
_cell_length_c 33.9017
_cell_angle_alpha 90.00
_cell_angle_beta 90.00
_cell_angle_gamma 120.00
loop_
_atom_site_label
_atom_site_type_symbol
_atom_site_fract_x
_atom_site_fract_y
_atom_site_fract_z
_atom_site_occupancy
Ca1 Ca 0.0000 0.0000 0.0000 1
La1 La 0.0000 0.0000 0.5000 1
Ta1 Ta 0.0000 0.0000 0.2511 1
# - raw total energy (eV per atom) = -6.87
# - excess energy over the best structure of this formula in the dataset (eV per atom) = 0.4575
# - volume (Å³/atom) = 24.00
# - M_tot (μB per formula unit) = 0.00
# - formation enthalpy at 0 K (eV/atom) = 0.7903